VASP calculation (GGA-PBE) on Au2BrCl after structural relaxation.

a = 3.7325 Å, b = 3.8687 Å, c = 7.0074 Å
α = 90.00°, β = 90.00°, γ = 90.00°
Atoms (fractional coordinates):
1 Au 0.0000 0.0000 0.0000
2 Au 0.5000 0.0000 0.5000
3 Br 0.0000 0.5000 0.5000
4 Cl 0.5000 0.5000 0.0000

Output
E	-2.324	eV per atom
crystal system	orthorhombic
ΔE to the lowest computed polymorph	114	kJ/mol of formula units
density of states at the Fermi level	1.86	states/eV/cell